1.
BaCd3Ni | PBE | optimized geometry

* magnetic moment: 0.00 μB per formula unit
* distance to the lowest polymorph of the same formula: 0 meV per atom
* formation enthalpy at 0 K: -0.87 eV/f.u.
* SG: Pm-3m (221)
* density of states at the Fermi level: 1.25 states/eV/cell

abc: 5.127 5.127 5.127
angles: 90.00 90.00 90.00
Element x y z (fractional)
Cd (0.000, 0.500, 0.000)
Cd (0.500, 0.000, 0.000)
Cd (0.000, 0.000, 0.500)
Ba (0.500, 0.500, 0.500)
Ni (0.000, 0.000, 0.000)

2.
Ba4Cd2Ni | PBE | optimized geometry

* magnetic moment: 0.33 μB per formula unit
* formation enthalpy at 0 K: -0.41 eV/f.u.
* SG: I4/mmm (139)
* density of states at the Fermi level: 9.28 states/eV/cell

abc: 5.886 5.886 9.976
angles: 72.84 72.84 90.00
Element x y z (fractional)
Ba (0.500, 0.000, 0.000)
Ba (0.177, 0.177, 0.646)
Ba (0.000, 0.500, 0.000)
Ba (0.823, 0.823, 0.354)
Cd (0.375, 0.375, 0.249)
Cd (0.625, 0.625, 0.751)
Ni (0.000, 0.000, 0.000)

3.
BaCd2Ni | PBE | optimized geometry

* magnetic moment: 0.00 μB per formula unit
* formation enthalpy at 0 K: -0.45 eV/f.u.
* SG: Cm (8)
* density of states at the Fermi level: 2.80 states/eV/cell

abc: 4.728 4.728 6.371
angles: 68.08 68.08 59.86
Element x y z (fractional)
Ba (0.245, 0.245, 0.260)
Ni (0.434, 0.434, 0.702)
Cd (0.771, 0.771, 0.688)
Cd (0.050, 0.050, 0.851)

- Which value of formation enthalpy at 0 K does entry 3 give?
  -0.45 eV/f.u.

- density of states at the Fermi level of number 2 (Ba4Cd2Ni)?
  9.28 states/eV/cell